Density functional theory data (PBE-GGA) for Pr2ZnSb3Pd4 after structural relaxation.

Geometry as CIF:
```
data_Pr2ZnSb3Pd4
_space_group_name_H-M_alt 'P -4 m 2'
_space_group_IT_number 115
_space_group_name_Hall 'P -4 -2'
_cell_length_a 4.5101
_cell_length_b 4.5101
_cell_length_c 10.7465
_cell_angle_alpha 90.00
_cell_angle_beta 90.00
_cell_angle_gamma 90.00
loop_
_atom_site_label
_atom_site_type_symbol
_atom_site_fract_x
_atom_site_fract_y
_atom_site_fract_z
Pr1 Pr 0.0000 0.5000 0.2451
Zn1 Zn 0.0000 0.0000 0.5000
Sb1 Sb 0.0000 0.5000 0.8633
Sb2 Sb 0.5000 0.5000 0.5000
Pd1 Pd 0.0000 0.0000 0.0000
Pd2 Pd 0.0000 0.5000 0.6227
Pd3 Pd 0.5000 0.5000 0.0000
```

The formation energy (no corrections) is -831 meV per atom. The value obtained for the magnetization is 0.00 μB per formula unit.